1.
VASP calculation (PBE-GGA) on a geometry-optimized TaRuPtAu structure.

Values from the calculation:
Fermi-level density of states (states/eV/f.u.): 0.76
Size of the total moment (μB/f.u.): 0.0
Formation energy from the elements (eV/f.u.): -0.74

abc: 4.5166 4.5166 4.5166
angles: 60.00 60.00 60.00
Last column: nearest neighbours and their distance in Å.
Positions (direct):
1 Ta 0.0000 0.0000 0.0000  4 Ru 2.77, 4 Pt 2.77
2 Ru 0.2500 0.2500 0.2500  4 Au 2.77, 4 Ta 2.77
3 Pt 0.7500 0.7500 0.7500  4 Au 2.77, 4 Ta 2.77
4 Au 0.5000 0.5000 0.5000  4 Ru 2.77, 4 Pt 2.77

=====

2.
VASP calculation (PBE-GGA) on a geometry-optimized Ba2Sb2H2Au structure.

Values from the calculation:
Fermi-level density of states (states/eV/f.u.): 2.19
Size of the total moment (μB/f.u.): 0.0

abc: 10.1275 10.1275 10.1275
angles: 155.78 155.78 34.52
Last column: nearest neighbours and their distance in Å.
Positions (direct):
1 Ba 0.0991 0.0991 0.0000  4 H 2.86
2 Ba 0.9009 0.9009 0.0000  4 H 2.86
3 Sb 0.2734 0.2734 0.0000  4 Sb 3.14, 1 Ba 3.37
4 Sb 0.7266 0.7266 0.0000  4 Sb 3.14, 1 Ba 3.37
5 H 0.0000 0.5000 0.5000  2 Au 2.12
6 H 0.5000 0.0000 0.5000  2 Au 2.12
7 Au 0.5000 0.5000 0.0000  4 H 2.12

=====

3.
VASP calculation (PBE-GGA) on a geometry-optimized NaZnNiCl structure.

Values from the calculation:
Fermi-level density of states (states/eV/f.u.): 0.70
Energy above the lowest structure with this stoichiometry (eV/atom): 0.059
Size of the total moment (μB/f.u.): 0.0

abc: 7.2826 7.2826 7.2826
angles: 153.86 153.86 37.30
Last column: nearest neighbours and their distance in Å.
Positions (direct):
1 Na 0.0000 0.0000 0.0000  4 Cl 2.67
2 Zn 0.2275 0.2275 0.0000  1 Cl 2.45, 4 Ni 2.48
3 Ni 0.6651 0.6651 0.0000  4 Zn 2.48
4 Cl 0.4050 0.4050 0.0000  1 Zn 2.45, 4 Na 2.67

=====

Volume values, unit Å³/atom, following the record order: 16.3; 25.0; 18.7.
E_tot values, unit Ha/atom, following the record order: -0.28653; -0.13155; -0.10888.